# 1
Below is a relaxed structure of InSiRu2, with properties calculated at the PBE-GGA level.

The structure belongs to space group P4mm (No. 99); the cell edges are 2.871, 2.871 and 7.848 Å and the angles 90.00°, 90.00° and 90.00°. The inequivalent atoms are In at (0.000, 0.000, 0.000), Si at (0.500, 0.500, 0.679), Ru at (0.000, 0.000, 0.483) and Ru at (0.500, 0.500, 0.263).

Its density of states at the Fermi level is 4.43 states/eV per cell. The value obtained for the total energy is -26.24 eV per cell. The volume comes out at 16.2 A^3/atom. For the total magnetization, the calculation gives 0.0003 μB/atom. As for the formation energy from raw total energies: 118 meV/atom.

# 2
Below is a relaxed structure of Nd2Dy6Y5, with properties calculated at the PBE-GGA level.

The structure belongs to space group Pbam (No. 55); the cell edges are 11.703, 20.333 and 3.603 Å and the angles 90.00°, 90.00° and 90.00°. The inequivalent atoms are Nd at (0.169, 0.217, 0.000), Dy at (0.062, 0.924, 0.000), Dy at (0.078, 0.636, 0.000), Dy at (0.177, 0.372, 0.500), Y at (0.000, 0.500, 0.500), Y at (0.091, 0.779, 0.500) and Y at (0.199, 0.054, 0.500).

Its density of states at the Fermi level is 33.95 states/eV per cell. The formation energy from the elements is 1.30 eV per formula unit. The value obtained for the total energy is -136.33 eV per cell. The volume comes out at 33.0 A^3/atom. For the total magnetization, the calculation gives 0.0000 μB/atom.

# 3
Below is a relaxed structure of Tb4Nd2Er3, with properties calculated at the PBE-GGA level.

The structure belongs to space group C2/c (No. 15); the cell edges are 16.217, 11.649 and 6.156 Å and the angles 90.00°, 96.11° and 90.00°. The inequivalent atoms are Tb at (0.047, 0.140, 0.014), Tb at (0.215, 0.361, 0.848), Nd at (0.121, 0.355, 0.321), Er at (0.000, 0.401, 0.750) and Er at (0.165, 0.098, 0.592).

Its density of states at the Fermi level is 49.03 states/eV per cell. The formation energy from the elements is 0.82 eV per formula unit. The value obtained for the total energy is -163.71 eV per cell. The volume comes out at 32.1 A^3/atom. For the total magnetization, the calculation gives 0.0000 μB/atom.

# 4
Below is a relaxed structure of HoGaC, with properties calculated at the PBE-GGA level.

The structure belongs to space group P3m1 (No. 156); the cell edges are 3.4824, 3.4824 and 4.7504 Å and the angles 90.00°, 90.00° and 120.00°. The inequivalent atoms are Ho at (0.0000, 0.0000, 0.0000), Ga at (0.6667, 0.3333, 0.4826) and C at (0.3333, 0.6667, 0.2706).

The formation energy from the elements is -0.54 eV per formula unit. The value obtained for the total energy is -17.37 eV per cell. The volume comes out at 16.6 A^3/atom. For the total magnetization, the calculation gives 0.0000 μB/atom. The value obtained for the distance to the lowest polymorph of the same formula is 45 kJ/mol of formula units.

# 5
Below is a relaxed structure of Li3In2Au7, with properties calculated at the PBE-GGA level.

The structure belongs to space group P2/m (No. 10); the cell edges are 4.036, 3.827 and 15.987 Å and the angles 90.00°, 97.21° and 90.00°. The inequivalent atoms are Li at (0.000, 0.000, 0.000), Li at (0.291, 0.500, 0.582), In at (0.133, 0.000, 0.272), Au at (0.066, 0.500, 0.136), Au at (0.220, 0.000, 0.440), Au at (0.432, 0.000, 0.860) and Au at (0.500, 0.500, 0.000).

Its density of states at the Fermi level is 3.13 states/eV per cell. The formation energy from the elements is -3.45 eV per formula unit. The value obtained for the total energy is -37.61 eV per cell. The volume comes out at 20.4 A^3/atom. For the total magnetization, the calculation gives 0.0000 μB/atom. The value obtained for the distance to the lowest polymorph of the same formula is 45 kJ/mol of formula units.

# 6
Below is a relaxed structure of Cs2HfAg2Te6, with properties calculated at the PBE-GGA level.

The structure belongs to space group C2/m (No. 12); the cell edges are 14.161, 8.244 and 9.036 Å and the angles 90.00°, 121.63° and 90.00°. The inequivalent atoms are Cs at (0.238, 0.000, 0.217), Hf at (0.000, 0.000, 0.500), Ag at (0.092, 0.500, 0.281), Te at (0.013, 0.219, 0.756) and Te at (0.232, 0.000, 0.756).

Its density of states at the Fermi level is 10.67 states/eV per cell. The value obtained for the total energy is -81.77 eV per cell. The volume comes out at 40.8 A^3/atom. For the total magnetization, the calculation gives 0.0000 μB/atom. As for the formation energy from raw total energies: -425 meV/atom.

# 7
Below is a relaxed structure of Zr6Co2Au, with properties calculated at the PBE-GGA level.

The structure belongs to space group Immm (No. 71); the cell edges are 8.328, 8.630 and 9.885 Å and the angles 90.00°, 90.00° and 90.00°. The inequivalent atoms are Zr at (0.000, 0.198, 0.235), Zr at (0.194, 0.500, 0.172), Zr at (0.200, 0.310, 0.500), Co at (0.000, 0.343, 0.000), Co at (0.000, 0.500, 0.374), Au at (0.000, 0.000, 0.000) and Au at (0.000, 0.000, 0.500).

Its density of states at the Fermi level is 38.39 states/eV per cell. The formation energy from the elements is -2.53 eV per formula unit. The value obtained for the total energy is -285.24 eV per cell. The volume comes out at 19.7 A^3/atom. For the total magnetization, the calculation gives 0.0000 μB/atom.

# 8
Below is a relaxed structure of NaCaZn17, with properties calculated at the PBE-GGA level.

The structure belongs to space group R3m (No. 160, hexagonal axes); the cell edges are 9.0817, 9.0817 and 13.2031 Å and the angles 90.00°, 90.00° and 120.00°. The inequivalent atoms are Na at (0.0000, 0.0000, 0.0000), Ca at (0.0000, 0.0000, 0.3194), Zn at (0.0000, 0.0000, 0.5585), Zn at (0.0000, 0.0000, 0.7610), Zn at (0.0017, 0.2992, 0.6578), Zn at (0.0036, 0.5018, 0.1566), Zn at (0.0050, 0.5025, 0.8111) and Zn at (0.1685, 0.3370, 0.8388).

Its density of states at the Fermi level is 13.34 states/eV per cell. The formation energy from the elements is -1.98 eV per formula unit. The value obtained for the total energy is -80.86 eV per cell. The volume comes out at 16.5 A^3/atom. For the total magnetization, the calculation gives 0.0000 μB/atom.

# 9
Below is a relaxed structure of MnFe2Ni, with properties calculated at the PBE-GGA level.

The structure belongs to space group Cmm2 (No. 35); the cell edges are 2.975, 3.827 and 7.827 Å and the angles 90.00°, 90.00° and 90.00°. The inequivalent atoms are Mn at (0.000, 0.000, 0.000), Fe at (0.000, 0.000, 0.506), Fe at (0.000, 0.500, 0.251) and Ni at (0.000, 0.500, 0.755).

Its density of states at the Fermi level is 9.74 states/eV per cell. The formation energy from the elements is 0.34 eV per formula unit. The value obtained for the total energy is -63.06 eV per cell. The volume comes out at 11.1 A^3/atom. For the total magnetization, the calculation gives 1.3244 μB/atom.

# 10
Below is a relaxed structure of Dy2UTl2Te6, with properties calculated at the PBE-GGA level.

The structure belongs to space group C2/m (No. 12); the cell edges are 7.612, 13.211 and 8.647 Å and the angles 90.00°, 107.33° and 90.00°. The inequivalent atoms are Dy at (0.000, 0.168, 0.000), U at (0.000, 0.500, 0.000), Tl at (0.000, 0.333, 0.500), Te at (0.238, 0.336, 0.213) and Te at (0.240, 0.000, 0.213).

Its density of states at the Fermi level is 12.81 states/eV per cell. The value obtained for the total energy is -108.55 eV per cell. The volume comes out at 37.7 A^3/atom. For the total magnetization, the calculation gives 0.1818 μB/atom. As for the formation energy from raw total energies: -927 meV/atom.

# 11
Below is a relaxed structure of SrLiLa3, with properties calculated at the PBE-GGA level.

The structure belongs to space group Pm-3m (No. 221); the cell edges are 5.791, 5.791 and 5.791 Å and the angles 90.00°, 90.00° and 90.00°. The inequivalent atoms are Sr at (0.000, 0.000, 0.000), Li at (0.500, 0.500, 0.500) and La at (0.000, 0.500, 0.500).

Its density of states at the Fermi level is 8.65 states/eV per cell. The formation energy from the elements is 1.80 eV per formula unit. The value obtained for the total energy is -16.58 eV per cell. The volume comes out at 38.8 A^3/atom. For the total magnetization, the calculation gives 0.0000 μB/atom. The value obtained for the distance to the lowest polymorph of the same formula is 0 kJ/mol of formula units.

# 12
Below is a relaxed structure of Rb3Au5Br12, with properties calculated at the PBE-GGA level.

The structure belongs to space group Ia-3d (No. 230); the cell edges are 17.753, 17.753 and 17.753 Å and the angles 90.00°, 90.00° and 90.00°. The inequivalent atoms are Rb at (0.000, 0.250, 0.125), Au at (0.000, 0.000, 0.000), Au at (0.000, 0.250, 0.375) and Br at (0.032, 0.045, 0.643).

Its density of states at the Fermi level is 97.66 states/eV per cell. The value obtained for the total energy is -401.05 eV per cell. The volume comes out at 35.0 A^3/atom. For the total magnetization, the calculation gives 0.0000 μB/atom. As for the formation energy from raw total energies: -538 meV/atom.

# 13
Below is a relaxed structure of MgMoAu2, with properties calculated at the PBE-GGA level.

The structure belongs to space group P4/mmm (No. 123); the cell edges are 2.929, 2.929 and 7.960 Å and the angles 90.00°, 90.00° and 90.00°. The inequivalent atoms are Mg at (0.000, 0.000, 0.000), Mo at (0.000, 0.000, 0.500) and Au at (0.500, 0.500, 0.249).

Its density of states at the Fermi level is 1.84 states/eV per cell. The formation energy from the elements is -0.34 eV per formula unit. The value obtained for the total energy is -19.32 eV per cell. The volume comes out at 17.1 A^3/atom. For the total magnetization, the calculation gives 0.0000 μB/atom.

# 14
Below is a relaxed structure of NaSr2LaAu, with properties calculated at the PBE-GGA level.

The structure belongs to space group P4/mmm (No. 123); the cell edges are 6.224, 6.224 and 5.801 Å and the angles 90.00°, 90.00° and 90.00°. The inequivalent atoms are Na at (0.000, 0.000, 0.000), Sr at (0.000, 0.500, 0.500), La at (0.500, 0.500, 0.000) and Au at (0.500, 0.500, 0.500).

Its density of states at the Fermi level is 5.00 states/eV per cell. The formation energy from the elements is -1.08 eV per formula unit. The value obtained for the total energy is -13.96 eV per cell. The volume comes out at 44.9 A^3/atom. For the total magnetization, the calculation gives 0.0001 μB/atom.

# 15
Below is a relaxed structure of CsTa3Cu4Se12, with properties calculated at the PBE-GGA level.

The structure belongs to space group R32 (No. 155, hexagonal axes); the cell edges are 14.3284, 14.3284 and 9.1695 Å and the angles 90.00°, 90.00° and 120.00°. The inequivalent atoms are Cs at (0.0000, 0.0000, 0.0000), Ta at (0.0000, 0.5492, 0.0000), Cu at (0.0000, 0.0000, 0.5000), Cu at (0.0000, 0.4443, 0.5000), Se at (0.0000, 0.6068, 0.5000), Se at (0.0000, 0.8354, 0.5000) and Se at (0.0641, 0.2460, 0.1693).

Its density of states at the Fermi level is 50.53 states/eV per cell. The value obtained for the total energy is -305.50 eV per cell. The volume comes out at 27.2 A^3/atom. For the total magnetization, the calculation gives 0.0000 μB/atom. As for the formation energy from raw total energies: -361 meV/atom.

# 16
Below is a relaxed structure of ScOsPb, with properties calculated at the PBE-GGA level.

The structure belongs to space group P3m1 (No. 156); the cell edges are 3.2625, 3.2625 and 6.7953 Å and the angles 90.00°, 90.00° and 120.00°. The inequivalent atoms are Sc at (0.0000, 0.0000, 0.0000), Os at (0.6667, 0.3333, 0.2777) and Pb at (0.3333, 0.6667, 0.6052).

Its density of states at the Fermi level is 2.09 states/eV per cell. The formation energy from the elements is 0.74 eV per formula unit. The value obtained for the total energy is -20.53 eV per cell. The volume comes out at 20.9 A^3/atom. For the total magnetization, the calculation gives 0.0000 μB/atom. The value obtained for the distance to the lowest polymorph of the same formula is 56 kJ/mol of formula units.

# 17
Below is a relaxed structure of NdTmAl2S6, with properties calculated at the PBE-GGA level.

The structure belongs to space group R3 (No. 146, hexagonal axes); the cell edges are 6.6093, 6.6093 and 16.5468 Å and the angles 90.00°, 90.00° and 120.00°. The inequivalent atoms are Nd at (0.0000, 0.0000, 0.0000), Tm at (0.0000, 0.0000, 0.5156), Al at (0.0000, 0.0000, 0.2235), Al at (0.0000, 0.0000, 0.7284), S at (0.0609, 0.7166, 0.7988) and S at (0.0822, 0.3452, 0.2980).

Its density of states at the Fermi level is 0.00 states/eV per cell. The value obtained for the total energy is -168.22 eV per cell. The volume comes out at 20.9 A^3/atom. For the total magnetization, the calculation gives 0.0000 μB/atom. As for the formation energy from raw total energies: -1459 meV/atom.

# 18
Below is a relaxed structure of NbGa2PdPt, with properties calculated at the PBE-GGA level.

The structure belongs to space group P4/mmm (No. 123); the cell edges are 4.918, 4.918 and 4.765 Å and the angles 90.00°, 90.00° and 90.00°. The inequivalent atoms are Nb at (0.000, 0.000, 0.000), Ga at (0.000, 0.500, 0.000), Pd at (0.000, 0.000, 0.500) and Pt at (0.500, 0.500, 0.500).

Its density of states at the Fermi level is 3.63 states/eV per cell. The formation energy from the elements is 5.26 eV per formula unit. The value obtained for the total energy is -22.10 eV per cell. The volume comes out at 23.1 A^3/atom. For the total magnetization, the calculation gives 0.0000 μB/atom.

# 19
Below is a relaxed structure of Tl2TeI, with properties calculated at the PBE-GGA level.

The structure belongs to space group P4/mmm (No. 123); the cell edges are 6.070, 6.070 and 3.815 Å and the angles 90.00°, 90.00° and 90.00°. The inequivalent atoms are Tl at (0.000, 0.500, 0.000), Te at (0.000, 0.000, 0.500) and I at (0.500, 0.500, 0.500).

Its density of states at the Fermi level is 3.05 states/eV per cell. The value obtained for the total energy is -10.59 eV per cell. The volume comes out at 35.1 A^3/atom. For the total magnetization, the calculation gives 0.0000 μB/atom. The value obtained for the distance to the lowest polymorph of the same formula is 45 kJ/mol of formula units. As for the formation energy from raw total energies: -292 meV/atom.